# NaInI2 (GGA-PBEsol, optimized geometry)
data_NaInI2
_chemical_formula_sum 'Na4 In4 I8'
_space_group_name_H-M_alt 'I -4 2 d'
_space_group_IT_number 122
_space_group_name_Hall 'I -4 2bw'
_cell_length_a 7.430
_cell_length_b 7.430
_cell_length_c 14.443
_cell_angle_alpha 90.00
_cell_angle_beta 90.00
_cell_angle_gamma 90.00
loop_
_atom_site_label
_atom_site_fract_x
_atom_site_fract_y
_atom_site_fract_z
Na1 0.000 0.000 0.000
In1 0.000 0.000 0.500
I1 0.219 0.250 0.125
# DFT total energy, eV for the cell shown: -42.60
# DOS at the Fermi energy, states/eV/cell: 0.00
# Spin magnetization, μB per formula unit: 0.0
# Uncorrected formation energy, eV per atom: -0.683



# NaInI4O12 (GGA-PBEsol, optimized geometry)
data_NaInI4O12
_chemical_formula_sum 'Na2 In2 I8 O24'
_space_group_name_H-M_alt 'P 1 21/c 1'
_space_group_IT_number 14
_cell_length_a 7.103
_cell_length_b 4.971
_cell_length_c 15.376
_cell_angle_alpha 90.00
_cell_angle_beta 101.37
_cell_angle_gamma 90.00
loop_
_space_group_symop_operation_xyz
'x,y,z'
'-x,-y,-z'
'-x,y+1/2,-z+1/2'
'x,-y+1/2,z+1/2'
loop_
_atom_site_label
_atom_site_fract_x
_atom_site_fract_y
_atom_site_fract_z
Na1 0.000 0.000 0.000
In1 0.500 0.000 0.000
I1 0.165 0.075 0.336
I2 0.320 0.516 0.144
O1 0.057 0.740 0.711
O2 0.097 0.151 0.595
O3 0.239 0.177 0.927
O4 0.298 0.734 0.552
O5 0.331 0.193 0.266
O6 0.498 0.703 0.893
# DFT total energy, eV for the cell shown: -174.23
# DOS at the Fermi energy, states/eV/cell: 0.00
# Spin magnetization, μB per formula unit: 0.0
# Uncorrected formation energy, eV per atom: -0.704



# Rb2NaInI6 (GGA-PBEsol, optimized geometry)
data_Rb2NaInI6
_chemical_formula_sum 'Rb8 Na4 In4 I24'
_space_group_name_H-M_alt 'F m -3 m'
_space_group_IT_number 225
_space_group_name_Hall '-F 4 2 3'
_cell_length_a 11.894
_cell_length_b 11.894
_cell_length_c 11.894
_cell_angle_alpha 90.00
_cell_angle_beta 90.00
_cell_angle_gamma 90.00
loop_
_atom_site_label
_atom_site_fract_x
_atom_site_fract_y
_atom_site_fract_z
Rb1 0.250 0.250 0.250
Na1 0.000 0.000 0.000
In1 0.000 0.000 0.500
I1 0.000 0.000 0.257
# DFT total energy, eV for the cell shown: -107.57
# Spin magnetization, μB per formula unit: 0.0
# Uncorrected formation energy, eV per atom: -0.986



# NbInTeI2 (GGA-PBEsol, optimized geometry)
data_NbInTeI2
_chemical_formula_sum 'Nb1 In1 Te1 I2'
_space_group_name_H-M_alt 'P 4/m m m'
_space_group_IT_number 123
_space_group_name_Hall '-P 4 2'
_cell_length_a 5.603
_cell_length_b 5.603
_cell_length_c 5.372
_cell_angle_alpha 90.00
_cell_angle_beta 90.00
_cell_angle_gamma 90.00
loop_
_atom_site_label
_atom_site_fract_x
_atom_site_fract_y
_atom_site_fract_z
Nb1 0.000 0.000 0.000
In1 0.500 0.500 0.500
Te1 0.000 0.000 0.500
I1 0.000 0.500 0.000
# DFT total energy, eV for the cell shown: -20.88
# DOS at the Fermi energy, states/eV/cell: 3.98
# Spin magnetization, μB per formula unit: 1.1
# Uncorrected formation energy, eV per atom: -0.003



# In3NiI (GGA-PBEsol, optimized geometry)
data_In3NiI
_chemical_formula_sum 'In3 Ni1 I1'
_space_group_name_H-M_alt 'P m -3 m'
_space_group_IT_number 221
_space_group_name_Hall '-P 4 2 3'
_cell_length_a 5.025
_cell_length_b 5.025
_cell_length_c 5.025
_cell_angle_alpha 90.00
_cell_angle_beta 90.00
_cell_angle_gamma 90.00
loop_
_atom_site_label
_atom_site_fract_x
_atom_site_fract_y
_atom_site_fract_z
In1 0.000 0.000 0.500
Ni1 0.000 0.000 0.000
I1 0.500 0.500 0.500
# DFT total energy, eV for the cell shown: -18.01
# DOS at the Fermi energy, states/eV/cell: 0.56
# Spin magnetization, μB per formula unit: 0.0
# Uncorrected formation energy, eV per atom: -0.226



# InNi3I (GGA-PBEsol, optimized geometry)
data_InNi3I
_chemical_formula_sum 'In1 Ni3 I1'
_space_group_name_H-M_alt 'P m -3 m'
_space_group_IT_number 221
_space_group_name_Hall '-P 4 2 3'
_cell_length_a 4.649
_cell_length_b 4.649
_cell_length_c 4.649
_cell_angle_alpha 90.00
_cell_angle_beta 90.00
_cell_angle_gamma 90.00
loop_
_atom_site_label
_atom_site_fract_x
_atom_site_fract_y
_atom_site_fract_z
In1 0.000 0.000 0.000
Ni1 0.000 0.000 0.500
I1 0.500 0.500 0.500
# DFT total energy, eV for the cell shown: -17.59
# DOS at the Fermi energy, states/eV/cell: 4.33
# Spin magnetization, μB per formula unit: 0.0
# Uncorrected formation energy, eV per atom: 1.126



# In3NiI (GGA-PBEsol, optimized geometry)
data_In3NiI
_chemical_formula_sum 'In3 Ni1 I1'
_space_group_name_H-M_alt 'P m -3 m'
_space_group_IT_number 221
_space_group_name_Hall '-P 4 2 3'
_cell_length_a 6.121
_cell_length_b 6.121
_cell_length_c 6.121
_cell_angle_alpha 90.00
_cell_angle_beta 90.00
_cell_angle_gamma 90.00
loop_
_atom_site_label
_atom_site_fract_x
_atom_site_fract_y
_atom_site_fract_z
In1 0.000 0.000 0.500
Ni1 0.500 0.500 0.500
I1 0.000 0.000 0.000
# DFT total energy, eV for the cell shown: -10.60
# DOS at the Fermi energy, states/eV/cell: 9.19
# Spin magnetization, μB per formula unit: 0.8
# Uncorrected formation energy, eV per atom: 1.254



# InNiIO2 (GGA-PBEsol, optimized geometry)
data_InNiIO2
_chemical_formula_sum 'In1 Ni1 I1 O2'
_space_group_name_H-M_alt 'P 4/m m m'
_space_group_IT_number 123
_space_group_name_Hall '-P 4 2'
_cell_length_a 3.966
_cell_length_b 3.966
_cell_length_c 6.376
_cell_angle_alpha 90.00
_cell_angle_beta 90.00
_cell_angle_gamma 90.00
loop_
_atom_site_label
_atom_site_fract_x
_atom_site_fract_y
_atom_site_fract_z
In1 0.000 0.000 0.000
Ni1 0.500 0.500 0.500
I1 0.000 0.000 0.500
O1 0.000 0.500 0.000
# DFT total energy, eV for the cell shown: -21.03
# DOS at the Fermi energy, states/eV/cell: 6.04
# Spin magnetization, μB per formula unit: 1.6
# Uncorrected formation energy, eV per atom: 0.075



# InI2O2 (GGA-PBEsol, optimized geometry)
data_InI2O2
_chemical_formula_sum 'In2 I4 O4'
_space_group_name_H-M_alt 'I 4/m m m'
_space_group_IT_number 139
_space_group_name_Hall '-I 4 2'
_cell_length_a 5.544
_cell_length_b 5.544
_cell_length_c 7.797
_cell_angle_alpha 90.00
_cell_angle_beta 90.00
_cell_angle_gamma 90.00
loop_
_atom_site_label
_atom_site_fract_x
_atom_site_fract_y
_atom_site_fract_z
In1 0.000 0.000 0.000
I1 0.000 0.500 0.250
O1 0.000 0.000 0.420
# DFT total energy, eV for the cell shown: -34.24
# DOS at the Fermi energy, states/eV/cell: 7.18
# Spin magnetization, μB per formula unit: 1.2
# Uncorrected formation energy, eV per atom: -0.021



# InI3O9 (GGA-PBEsol, optimized geometry)
data_InI3O9
_chemical_formula_sum 'In6 I18 O54'
_space_group_name_H-M_alt 'R -3'
_space_group_IT_number 148
_space_group_name_Hall '-R 3'
_cell_length_a 9.6569
_cell_length_b 9.6569
_cell_length_c 14.2510
_cell_angle_alpha 90.00
_cell_angle_beta 90.00
_cell_angle_gamma 120.00
loop_
_atom_site_label
_atom_site_fract_x
_atom_site_fract_y
_atom_site_fract_z
In1 0.0000 0.0000 0.1775
I1 0.0053 0.2918 0.5815
O1 0.0340 0.7624 0.5438
O2 0.0362 0.1892 0.2731
O3 0.0440 0.2020 0.9073
# DFT total energy, eV for the cell shown: -378.59
# DOS at the Fermi energy, states/eV/cell: 0.00
# Spin magnetization, μB per formula unit: 0.0
# Uncorrected formation energy, eV per atom: -0.582



# InOsIO2 (GGA-PBEsol, optimized geometry)
data_InOsIO2
_chemical_formula_sum 'In1 Os1 I1 O2'
_space_group_name_H-M_alt 'P 4/m m m'
_space_group_IT_number 123
_space_group_name_Hall '-P 4 2'
_cell_length_a 3.997
_cell_length_b 3.997
_cell_length_c 5.662
_cell_angle_alpha 90.00
_cell_angle_beta 90.00
_cell_angle_gamma 90.00
loop_
_atom_site_label
_atom_site_fract_x
_atom_site_fract_y
_atom_site_fract_z
In1 0.000 0.000 0.000
Os1 0.500 0.500 0.500
I1 0.500 0.500 0.000
O1 0.000 0.500 0.500
# DFT total energy, eV for the cell shown: -27.86
# DOS at the Fermi energy, states/eV/cell: 3.56
# Spin magnetization, μB per formula unit: 0.0
# Uncorrected formation energy, eV per atom: -0.080



# InPI2O (GGA-PBEsol, optimized geometry)
data_InPI2O
_chemical_formula_sum 'In1 P1 I2 O1'
_space_group_name_H-M_alt 'P 4/m m m'
_space_group_IT_number 123
_space_group_name_Hall '-P 4 2'
_cell_length_a 5.805
_cell_length_b 5.805
_cell_length_c 3.867
_cell_angle_alpha 90.00
_cell_angle_beta 90.00
_cell_angle_gamma 90.00
loop_
_atom_site_label
_atom_site_fract_x
_atom_site_fract_y
_atom_site_fract_z
In1 0.000 0.000 0.000
P1 0.500 0.500 0.500
I1 0.000 0.500 0.000
O1 0.000 0.000 0.500
# DFT total energy, eV for the cell shown: -16.35
# DOS at the Fermi energy, states/eV/cell: 2.84
# Spin magnetization, μB per formula unit: 0.0
# Uncorrected formation energy, eV per atom: 0.241



# Rb3InI6O18 (GGA-PBEsol, optimized geometry)
data_Rb3InI6O18
_chemical_formula_sum 'Rb3 In1 I6 O18'
_space_group_name_H-M_alt 'P -1'
_space_group_IT_number 2
_cell_length_a 6.958
_cell_length_b 6.990
_cell_length_c 10.577
_cell_angle_alpha 87.80
_cell_angle_beta 72.76
_cell_angle_gamma 72.03
loop_
_space_group_symop_operation_xyz
'x,y,z'
'-x,-y,-z'
loop_
_atom_site_label
_atom_site_fract_x
_atom_site_fract_y
_atom_site_fract_z
Rb1 0.000 0.000 0.000
Rb2 0.165 0.022 0.602
In1 0.500 0.500 0.000
I1 0.039 0.523 0.810
I2 0.405 0.459 0.366
I3 0.442 0.970 0.190
O1 0.049 0.554 0.321
O2 0.080 0.204 0.187
O3 0.162 0.543 0.047
O4 0.284 0.155 0.813
O5 0.307 0.845 0.326
O6 0.334 0.560 0.610
O7 0.407 0.201 0.399
O8 0.427 0.824 0.050
O9 0.462 0.604 0.815
# DFT total energy, eV for the cell shown: -134.12
# DOS at the Fermi energy, states/eV/cell: 0.00
# Spin magnetization, μB per formula unit: 0.0
# Uncorrected formation energy, eV per atom: -0.820



# In2RhIO (GGA-PBEsol, optimized geometry)
data_In2RhIO
_chemical_formula_sum 'In2 Rh1 I1 O1'
_space_group_name_H-M_alt 'P 4/m m m'
_space_group_IT_number 123
_space_group_name_Hall '-P 4 2'
_cell_length_a 5.490
_cell_length_b 5.490
_cell_length_c 3.755
_cell_angle_alpha 90.00
_cell_angle_beta 90.00
_cell_angle_gamma 90.00
loop_
_atom_site_label
_atom_site_fract_x
_atom_site_fract_y
_atom_site_fract_z
In1 0.000 0.500 0.000
Rh1 0.000 0.000 0.000
I1 0.500 0.500 0.500
O1 0.000 0.000 0.500
# DFT total energy, eV for the cell shown: -22.94
# DOS at the Fermi energy, states/eV/cell: 2.62
# Spin magnetization, μB per formula unit: 0.0
# Uncorrected formation energy, eV per atom: -0.365



# ScInI2O (GGA-PBEsol, optimized geometry)
data_ScInI2O
_chemical_formula_sum 'Sc1 In1 I2 O1'
_space_group_name_H-M_alt 'P 4/m m m'
_space_group_IT_number 123
_space_group_name_Hall '-P 4 2'
_cell_length_a 5.938
_cell_length_b 5.938
_cell_length_c 3.917
_cell_angle_alpha 90.00
_cell_angle_beta 90.00
_cell_angle_gamma 90.00
loop_
_atom_site_label
_atom_site_fract_x
_atom_site_fract_y
_atom_site_fract_z
Sc1 0.000 0.000 0.000
In1 0.500 0.500 0.500
I1 0.000 0.500 0.500
O1 0.500 0.500 0.000
# DFT total energy, eV for the cell shown: -20.19
# DOS at the Fermi energy, states/eV/cell: 5.49
# Spin magnetization, μB per formula unit: 1.4
# Uncorrected formation energy, eV per atom: -0.364



# InSnI2O (GGA-PBEsol, optimized geometry)
data_InSnI2O
_chemical_formula_sum 'In1 Sn1 I2 O1'
_space_group_name_H-M_alt 'P 4/m m m'
_space_group_IT_number 123
_space_group_name_Hall '-P 4 2'
_cell_length_a 6.126
_cell_length_b 6.126
_cell_length_c 4.044
_cell_angle_alpha 90.00
_cell_angle_beta 90.00
_cell_angle_gamma 90.00
loop_
_atom_site_label
_atom_site_fract_x
_atom_site_fract_y
_atom_site_fract_z
In1 0.000 0.000 0.000
Sn1 0.500 0.500 0.500
I1 0.000 0.500 0.500
O1 0.500 0.500 0.000
# DFT total energy, eV for the cell shown: -18.53
# DOS at the Fermi energy, states/eV/cell: 0.64
# Spin magnetization, μB per formula unit: 0.0
# Uncorrected formation energy, eV per atom: -0.501



# InOsPd2I (GGA-PBEsol, optimized geometry)
data_InOsPd2I
_chemical_formula_sum 'In1 Os1 Pd2 I1'
_space_group_name_H-M_alt 'P 4/m m m'
_space_group_IT_number 123
_space_group_name_Hall '-P 4 2'
_cell_length_a 4.811
_cell_length_b 4.811
_cell_length_c 5.232
_cell_angle_alpha 90.00
_cell_angle_beta 90.00
_cell_angle_gamma 90.00
loop_
_atom_site_label
_atom_site_fract_x
_atom_site_fract_y
_atom_site_fract_z
In1 0.000 0.000 0.000
Os1 0.000 0.000 0.500
Pd1 0.000 0.500 0.500
I1 0.500 0.500 0.000
# DFT total energy, eV for the cell shown: -24.00
# DOS at the Fermi energy, states/eV/cell: 4.65
# Spin magnetization, μB per formula unit: 0.0
# Uncorrected formation energy, eV per atom: 0.977



# InOs2WI (GGA-PBEsol, optimized geometry)
data_InOs2WI
_chemical_formula_sum 'In1 Os2 W1 I1'
_space_group_name_H-M_alt 'P 4/m m m'
_space_group_IT_number 123
_space_group_name_Hall '-P 4 2'
_cell_length_a 4.745
_cell_length_b 4.745
_cell_length_c 5.300
_cell_angle_alpha 90.00
_cell_angle_beta 90.00
_cell_angle_gamma 90.00
loop_
_atom_site_label
_atom_site_fract_x
_atom_site_fract_y
_atom_site_fract_z
In1 0.000 0.000 0.000
Os1 0.000 0.500 0.500
W1 0.000 0.000 0.500
I1 0.500 0.500 0.000
# DFT total energy, eV for the cell shown: -33.37
# DOS at the Fermi energy, states/eV/cell: 5.66
# Spin magnetization, μB per formula unit: 1.5
# Uncorrected formation energy, eV per atom: 1.923



# InSb2PbI (GGA-PBEsol, optimized geometry)
data_InSb2PbI
_chemical_formula_sum 'In1 Sb2 Pb1 I1'
_space_group_name_H-M_alt 'P 4/m m m'
_space_group_IT_number 123
_space_group_name_Hall '-P 4 2'
_cell_length_a 5.539
_cell_length_b 5.539
_cell_length_c 5.732
_cell_angle_alpha 90.00
_cell_angle_beta 90.00
_cell_angle_gamma 90.00
loop_
_atom_site_label
_atom_site_fract_x
_atom_site_fract_y
_atom_site_fract_z
In1 0.000 0.000 0.000
Sb1 0.000 0.500 0.000
Pb1 0.500 0.500 0.500
I1 0.000 0.000 0.500
# DFT total energy, eV for the cell shown: -15.47
# DOS at the Fermi energy, states/eV/cell: 5.11
# Spin magnetization, μB per formula unit: 0.0
# Uncorrected formation energy, eV per atom: 0.479



# In3PdI (GGA-PBEsol, optimized geometry)
data_In3PdI
_chemical_formula_sum 'In3 Pd1 I1'
_space_group_name_H-M_alt 'P m -3 m'
_space_group_IT_number 221
_space_group_name_Hall '-P 4 2 3'
_cell_length_a 5.197
_cell_length_b 5.197
_cell_length_c 5.197
_cell_angle_alpha 90.00
_cell_angle_beta 90.00
_cell_angle_gamma 90.00
loop_
_atom_site_label
_atom_site_fract_x
_atom_site_fract_y
_atom_site_fract_z
In1 0.000 0.000 0.500
Pd1 0.000 0.000 0.000
I1 0.500 0.500 0.500
# DFT total energy, eV for the cell shown: -18.39
# DOS at the Fermi energy, states/eV/cell: 0.70
# Spin magnetization, μB per formula unit: 0.0
# Uncorrected formation energy, eV per atom: -0.343



# InPtI3 (GGA-PBEsol, optimized geometry)
data_InPtI3
_chemical_formula_sum 'In1 Pt1 I3'
_space_group_name_H-M_alt 'P m -3 m'
_space_group_IT_number 221
_space_group_name_Hall '-P 4 2 3'
_cell_length_a 5.680
_cell_length_b 5.680
_cell_length_c 5.680
_cell_angle_alpha 90.00
_cell_angle_beta 90.00
_cell_angle_gamma 90.00
loop_
_atom_site_label
_atom_site_fract_x
_atom_site_fract_y
_atom_site_fract_z
In1 0.000 0.000 0.000
Pt1 0.500 0.500 0.500
I1 0.000 0.000 0.500
# DFT total energy, eV for the cell shown: -11.06
# DOS at the Fermi energy, states/eV/cell: 11.88
# Spin magnetization, μB per formula unit: 0.9
# Uncorrected formation energy, eV per atom: 0.837



# InTePtI2 (GGA-PBEsol, optimized geometry)
data_InTePtI2
_chemical_formula_sum 'In1 Te1 Pt1 I2'
_space_group_name_H-M_alt 'P 4/m m m'
_space_group_IT_number 123
_space_group_name_Hall '-P 4 2'
_cell_length_a 5.499
_cell_length_b 5.499
_cell_length_c 5.210
_cell_angle_alpha 90.00
_cell_angle_beta 90.00
_cell_angle_gamma 90.00
loop_
_atom_site_label
_atom_site_fract_x
_atom_site_fract_y
_atom_site_fract_z
In1 0.000 0.000 0.000
Te1 0.500 0.500 0.000
Pt1 0.500 0.500 0.500
I1 0.000 0.500 0.500
# DFT total energy, eV for the cell shown: -16.93
# DOS at the Fermi energy, states/eV/cell: 4.02
# Spin magnetization, μB per formula unit: 0.0
# Uncorrected formation energy, eV per atom: 0.014